1.
# LaIrAu, relaxed, DFT PBE
data_LaIrAu
_chemical_formula_sum 'La2 Ir2 Au2'
_cell_length_a 4.655
_cell_length_b 5.457
_cell_length_c 6.124
_cell_angle_alpha 100.78
_cell_angle_beta 111.95
_cell_angle_gamma 90.58
_symmetry_space_group_name_H-M 'P 1'
_symmetry_Int_Tables_number 1
_symmetry_space_group_name_Hall 'P 1'
loop_
_atom_site_label
_atom_site_fract_x
_atom_site_fract_y
_atom_site_fract_z
La1 0.109 0.314 0.226
La2 0.891 0.686 0.774
Ir1 0.209 0.900 0.417
Ir2 0.791 0.100 0.583
Au1 0.408 0.283 0.817
Au2 0.592 0.717 0.183
# energy above the lowest structure with this stoichiometry = 0 meV/atom
# DOS(E_F) = 0.408 states/eV per atom
# SG = P-1
# formation enthalpy at 0 K = -0.621 eV/atom

2.
# LaIr2Au, relaxed, DFT PBE
data_LaIr2Au
_chemical_formula_sum 'La1 Ir2 Au1'
_cell_length_a 3.494
_cell_length_b 3.494
_cell_length_c 6.819
_cell_angle_alpha 90.00
_cell_angle_beta 90.00
_cell_angle_gamma 90.00
_symmetry_space_group_name_H-M 'P 1'
_symmetry_Int_Tables_number 1
_symmetry_space_group_name_Hall 'P 1'
loop_
_atom_site_label
_atom_site_fract_x
_atom_site_fract_y
_atom_site_fract_z
La1 0.000 0.000 0.000
Ir1 0.000 0.000 0.579
Ir2 0.500 0.500 0.699
Au1 0.500 0.500 0.297
# energy above the lowest structure with this stoichiometry = 118 meV/atom
# DOS(E_F) = 0.906 states/eV per atom
# SG = P4mm
# formation enthalpy at 0 K = -0.092 eV/atom

3.
# La3IrAu, relaxed, DFT PBE
data_La3IrAu
_chemical_formula_sum 'La6 Ir2 Au2'
_cell_length_a 7.023
_cell_length_b 7.023
_cell_length_c 10.809
_cell_angle_alpha 90.00
_cell_angle_beta 90.00
_cell_angle_gamma 145.08
_symmetry_space_group_name_H-M 'P 1'
_symmetry_Int_Tables_number 1
_symmetry_space_group_name_Hall 'P 1'
loop_
_atom_site_label
_atom_site_fract_x
_atom_site_fract_y
_atom_site_fract_z
La1 0.079 0.921 0.750
La2 0.363 0.637 0.560
La3 0.363 0.637 0.940
La4 0.637 0.363 0.060
La5 0.637 0.363 0.440
La6 0.921 0.079 0.250
Ir1 0.000 0.000 0.000
Ir2 0.000 0.000 0.500
Au1 0.250 0.750 0.250
Au2 0.750 0.250 0.750
# energy above the lowest structure with this stoichiometry = 0 meV/atom
# DOS(E_F) = 0.841 states/eV per atom
# SG = Cmcm
# formation enthalpy at 0 K = -0.714 eV/atom

4.
# La2Ir2Au, relaxed, DFT PBE
data_La2Ir2Au
_chemical_formula_sum 'La4 Ir4 Au2'
_cell_length_a 3.939
_cell_length_b 3.939
_cell_length_c 16.101
_cell_angle_alpha 90.00
_cell_angle_beta 90.00
_cell_angle_gamma 90.00
_symmetry_space_group_name_H-M 'P 1'
_symmetry_Int_Tables_number 1
_symmetry_space_group_name_Hall 'P 1'
loop_
_atom_site_label
_atom_site_fract_x
_atom_site_fract_y
_atom_site_fract_z
La1 0.000 0.000 0.120
La2 0.000 0.000 0.880
La3 0.500 0.500 0.380
La4 0.500 0.500 0.620
Ir1 0.000 0.500 0.250
Ir2 0.000 0.500 0.750
Ir3 0.500 0.000 0.250
Ir4 0.500 0.000 0.750
Au1 0.000 0.000 0.500
Au2 0.500 0.500 0.000
# energy above the lowest structure with this stoichiometry = 131 meV/atom
# DOS(E_F) = 0.789 states/eV per atom
# SG = I4/mmm
# formation enthalpy at 0 K = -0.488 eV/atom

5.
# LaIr2Au, relaxed, DFT PBE
data_LaIr2Au
_chemical_formula_sum 'La1 Ir2 Au1'
_cell_length_a 2.987
_cell_length_b 4.787
_cell_length_c 5.482
_cell_angle_alpha 90.00
_cell_angle_beta 98.94
_cell_angle_gamma 90.00
_symmetry_space_group_name_H-M 'P 1'
_symmetry_Int_Tables_number 1
_symmetry_space_group_name_Hall 'P 1'
loop_
_atom_site_label
_atom_site_fract_x
_atom_site_fract_y
_atom_site_fract_z
La1 0.000 0.000 0.000
Ir1 0.318 0.500 0.710
Ir2 0.682 0.500 0.290
Au1 0.500 0.000 0.500
# energy above the lowest structure with this stoichiometry = 221 meV/atom
# DOS(E_F) = 0.745 states/eV per atom
# SG = P2/m
# formation enthalpy at 0 K = 0.012 eV/atom

6.
# La8Ir2Au, relaxed, DFT PBE
data_La8Ir2Au
_chemical_formula_sum 'La8 Ir2 Au1'
_cell_length_a 7.746
_cell_length_b 7.746
_cell_length_c 6.617
_cell_angle_alpha 99.26
_cell_angle_beta 99.26
_cell_angle_gamma 112.15
_symmetry_space_group_name_H-M 'P 1'
_symmetry_Int_Tables_number 1
_symmetry_space_group_name_Hall 'P 1'
loop_
_atom_site_label
_atom_site_fract_x
_atom_site_fract_y
_atom_site_fract_z
La1 0.000 0.000 0.000
La2 0.027 0.295 0.592
La3 0.172 0.604 0.234
La4 0.295 0.027 0.592
La5 0.444 0.732 0.848
La6 0.604 0.172 0.234
La7 0.724 0.724 0.418
La8 0.732 0.444 0.848
Ir1 0.050 0.682 0.695
Ir2 0.682 0.050 0.695
Au1 0.361 0.361 0.015
# DOS(E_F) = 1.194 states/eV per atom
# SG = Cm
# formation enthalpy at 0 K = -0.396 eV/atom

7.
# LaIrAu3, relaxed, DFT PBE
data_LaIrAu3
_chemical_formula_sum 'La1 Ir1 Au3'
_cell_length_a 5.054
_cell_length_b 5.054
_cell_length_c 5.054
_cell_angle_alpha 90.00
_cell_angle_beta 90.00
_cell_angle_gamma 90.00
_symmetry_space_group_name_H-M 'P 1'
_symmetry_Int_Tables_number 1
_symmetry_space_group_name_Hall 'P 1'
loop_
_atom_site_label
_atom_site_fract_x
_atom_site_fract_y
_atom_site_fract_z
La1 0.000 0.000 0.000
Ir1 0.500 0.500 0.500
Au1 0.000 0.500 0.500
Au2 0.500 0.000 0.500
Au3 0.500 0.500 0.000
# DOS(E_F) = 0.766 states/eV per atom
# SG = Pm-3m
# formation enthalpy at 0 K = 0.087 eV/atom

8.
# LaIr2Au, relaxed, DFT PBE
data_LaIr2Au
_chemical_formula_sum 'La3 Ir6 Au3'
_cell_length_a 2.947
_cell_length_b 2.947
_cell_length_c 29.347
_cell_angle_alpha 90.00
_cell_angle_beta 90.00
_cell_angle_gamma 120.00
_symmetry_space_group_name_H-M 'P 1'
_symmetry_Int_Tables_number 1
_symmetry_space_group_name_Hall 'P 1'
loop_
_atom_site_label
_atom_site_fract_x
_atom_site_fract_y
_atom_site_fract_z
La1 0.000 0.000 0.000
La2 0.333 0.667 0.667
La3 0.667 0.333 0.333
Ir1 0.000 0.000 0.246
Ir2 0.000 0.000 0.754
Ir3 0.333 0.667 0.421
Ir4 0.333 0.667 0.912
Ir5 0.667 0.333 0.088
Ir6 0.667 0.333 0.579
Au1 0.000 0.000 0.500
Au2 0.333 0.667 0.167
Au3 0.667 0.333 0.833
# energy above the lowest structure with this stoichiometry = 627 meV/atom
# DOS(E_F) = 1.370 states/eV per atom
# SG = R-3m
# formation enthalpy at 0 K = 0.418 eV/atom

Copy entry 4 word for word.
# La2Ir2Au, relaxed, DFT PBE
data_La2Ir2Au
_chemical_formula_sum 'La4 Ir4 Au2'
_cell_length_a 3.939
_cell_length_b 3.939
_cell_length_c 16.101
_cell_angle_alpha 90.00
_cell_angle_beta 90.00
_cell_angle_gamma 90.00
_symmetry_space_group_name_H-M 'P 1'
_symmetry_Int_Tables_number 1
_symmetry_space_group_name_Hall 'P 1'
loop_
_atom_site_label
_atom_site_fract_x
_atom_site_fract_y
_atom_site_fract_z
La1 0.000 0.000 0.120
La2 0.000 0.000 0.880
La3 0.500 0.500 0.380
La4 0.500 0.500 0.620
Ir1 0.000 0.500 0.250
Ir2 0.000 0.500 0.750
Ir3 0.500 0.000 0.250
Ir4 0.500 0.000 0.750
Au1 0.000 0.000 0.500
Au2 0.500 0.500 0.000
# energy above the lowest structure with this stoichiometry = 131 meV/atom
# DOS(E_F) = 0.789 states/eV per atom
# SG = I4/mmm
# formation enthalpy at 0 K = -0.488 eV/atom

- What is the formation enthalpy at 0 K in the fifth record?
  0.012 eV/atom

- Among the records above, which one has the highest DOS(E_F)?
  number 8